Density functional theory data (PBE-GGA) for a geometry-optimized Cd2SbPb2 structure.

Computed properties:
Fermi-level density of states   0.438 states/eV/atom
Total DFT energy (no corrections)   -2.570 eV/atom
Calculated volume   149.18 Å³/f.u.
SG   I4/mmm, No. 139

Cell and atoms, written as extended XYZ:
```
5
Lattice="-2.070 2.070 8.705 2.070 -2.070 8.705 2.070 2.070 -8.705" Properties=species:S:1:pos:R:3 pbc="T T T"
Cd 2.070 0.000 4.353
Cd 0.000 2.070 4.353
Sb 0.000 0.000 0.000
Pb 0.000 0.000 7.050
Pb 0.000 0.000 10.361
```

***

Density functional theory data (PBE-GGA) for a geometry-optimized CdSb2Pb2 structure.

Computed properties:
Fermi-level density of states   0.338 states/eV/atom
Total DFT energy (no corrections)   -3.145 eV/atom
Calculated volume   171.83 Å³/f.u.
SG   I4/mmm, No. 139

Cell and atoms, written as extended XYZ:
```
5
Lattice="-2.364 2.364 7.690 2.364 -2.364 7.690 2.364 2.364 -7.690" Properties=species:S:1:pos:R:3 pbc="T T T"
Cd 0.000 0.000 0.000
Sb 2.364 0.000 3.845
Sb 0.000 2.364 3.845
Pb 0.000 0.000 5.991
Pb 0.000 0.000 9.389
```

***

Density functional theory data (PBE-GGA) for a geometry-optimized CdSbPb2 structure.

Computed properties:
Fermi-level density of states   0.395 states/eV/atom
Total DFT energy (no corrections)   -3.024 eV/atom
Calculated volume   114.72 Å³/f.u.
SG   P4/mmm, No. 123

Cell and atoms, written as extended XYZ:
```
4
Lattice="3.396 0.000 0.000 0.000 3.396 0.000 0.000 0.000 9.946" Properties=species:S:1:pos:R:3 pbc="T T T"
Cd 0.000 0.000 0.000
Sb 0.000 0.000 4.973
Pb 1.698 1.698 2.363
Pb 1.698 1.698 7.583
```

***

Density functional theory data (PBE-GGA) for a geometry-optimized Cd3Sb5Pb12 structure.

Computed properties:
Fermi-level density of states   0.353 states/eV/atom
Total DFT energy (no corrections)   -3.233 eV/atom
Calculated volume   732.29 Å³/f.u.
SG   Ia-3d, No. 230

Cell and atoms, written as extended XYZ:
```
80
Lattice="-9.014 9.014 9.014 9.014 -9.014 9.014 9.014 9.014 -9.014" Properties=species:S:1:pos:R:3 pbc="T T T"
Cd 4.507 2.253 0.000
Cd 9.014 4.507 -2.253
Cd 2.253 0.000 4.507
Cd 11.267 0.000 4.507
Cd 0.000 4.507 2.253
Cd 4.507 -2.253 9.014
Cd 4.507 11.267 0.000
Cd 9.014 4.507 6.760
Cd -2.253 9.014 4.507
Cd 6.760 9.014 4.507
Cd 0.000 4.507 11.267
Cd 4.507 6.760 9.014
Sb 0.000 0.000 0.000
Sb 4.507 4.507 -4.507
Sb 4.507 -4.507 4.507
Sb 9.014 0.000 0.000
Sb 13.520 2.253 0.000
Sb 9.014 -4.507 6.760
Sb 6.760 9.014 -4.507
Sb 6.760 0.000 4.507
Sb 4.507 6.760 0.000
Sb 9.014 4.507 2.253
Sb -4.507 4.507 4.507
Sb 0.000 9.014 0.000
Sb 0.000 0.000 9.014
Sb 4.507 4.507 4.507
Sb 0.000 4.507 6.760
Sb 4.507 2.253 9.014
Sb 2.253 9.014 4.507
Sb 2.253 0.000 13.520
Sb 0.000 13.520 2.253
Sb -4.507 6.760 9.014
Pb 2.715 -0.389 1.530
Pb 10.805 6.037 -4.896
Pb 8.624 -1.530 2.715
Pb 13.909 -1.791 2.976
Pb 11.729 0.389 1.530
Pb 10.805 -2.976 4.896
Pb 1.530 2.715 -0.389
Pb 11.990 4.118 -1.791
Pb 6.037 4.896 -1.791
Pb 7.483 2.715 0.389
Pb -0.389 1.530 2.715
Pb 4.896 -1.791 6.037
Pb 8.624 7.483 -2.715
Pb 4.896 1.791 2.976
Pb 7.483 -2.715 8.624
Pb 6.037 -4.896 10.805
Pb 2.976 4.896 1.791
Pb 10.544 6.298 0.389
Pb 2.715 8.624 -1.530
Pb 10.805 2.976 4.118
Pb 4.896 10.805 -2.976
Pb 8.624 1.530 6.298
Pb 1.791 2.976 4.896
Pb 2.715 0.389 7.483
Pb 6.298 8.624 1.530
Pb 7.222 6.037 4.118
Pb 0.389 7.483 2.715
Pb 4.118 -1.791 11.990
Pb -1.791 6.037 4.896
Pb 6.298 0.389 10.544
Pb -1.530 2.715 8.624
Pb 6.037 4.118 7.222
Pb 2.976 13.909 -1.791
Pb 1.530 11.729 0.389
Pb 4.118 7.222 6.037
Pb 0.389 1.530 11.729
Pb 4.118 10.805 2.976
Pb 9.403 7.483 6.298
Pb 1.530 6.298 8.624
Pb 2.976 4.118 10.805
Pb -2.976 4.896 10.805
Pb 7.483 6.298 9.403
Pb -1.791 11.990 4.118
Pb -2.715 8.624 7.483
Pb -4.896 10.805 6.037
Pb 0.389 10.544 6.298
Pb -1.791 2.976 13.909
Pb 6.298 9.403 7.483
```

***

Density functional theory data (PBE-GGA) for a geometry-optimized CdSbPb2 structure.

Computed properties:
Fermi-level density of states   0.441 states/eV/atom
Total DFT energy (no corrections)   -3.028 eV/atom
Calculated volume   116.93 Å³/f.u.
SG   C2/m, No. 12

Cell and atoms, written as extended XYZ:
```
4
Lattice="5.440 -1.676 0.000 5.440 1.676 0.000 -0.656 0.000 6.412" Properties=species:S:1:pos:R:3 pbc="T T T"
Cd 0.000 0.000 0.000
Sb 5.113 0.000 3.206
Pb 2.211 0.000 4.841
Pb 8.015 0.000 1.570
```

***

Density functional theory data (PBE-GGA) for a geometry-optimized CdSb2Pb2 structure.

Computed properties:
Fermi-level density of states   0.222 states/eV/atom
Total DFT energy (no corrections)   -3.173 eV/atom
Calculated volume   180.68 Å³/f.u.
SG   I4/mmm, No. 139

Cell and atoms, written as extended XYZ:
```
5
Lattice="-2.852 2.852 5.552 2.852 -2.852 5.552 2.852 2.852 -5.552" Properties=species:S:1:pos:R:3 pbc="T T T"
Cd 0.000 0.000 0.000
Sb 0.000 0.000 4.122
Sb 0.000 0.000 6.982
Pb 2.852 0.000 2.776
Pb 0.000 2.852 2.776
```

***

Density functional theory data (PBE-GGA) for a geometry-optimized CdSb2Pb structure.

Computed properties:
Fermi-level density of states   0.390 states/eV/atom
Total DFT energy (no corrections)   -3.082 eV/atom
Calculated volume   112.63 Å³/f.u.
SG   P4/mmm, No. 123

Cell and atoms, written as extended XYZ:
```
4
Lattice="4.982 0.000 0.000 0.000 4.982 0.000 0.000 0.000 4.538" Properties=species:S:1:pos:R:3 pbc="T T T"
Cd 0.000 0.000 0.000
Sb 0.000 2.491 2.269
Sb 2.491 0.000 2.269
Pb 2.491 2.491 0.000
```

***

Density functional theory data (PBE-GGA) for a geometry-optimized CdSbPb2 structure.

Computed properties:
Fermi-level density of states   0.507 states/eV/atom
Total DFT energy (no corrections)   -3.056 eV/atom
Calculated volume   116.25 Å³/f.u.
SG   Imm2, No. 44

Cell and atoms, written as extended XYZ:
```
4
Lattice="-2.159 2.632 5.114 2.159 -2.632 5.114 2.159 2.632 -5.114" Properties=species:S:1:pos:R:3 pbc="T T T"
Cd 0.000 0.000 0.000
Sb 0.000 2.632 2.825
Pb 2.159 0.000 2.577
Pb 0.000 0.000 5.351
```